[1]
A plane-wave DFT calculation with PBE-GGA was carried out for crystalline BaFeAu2 at its relaxed geometry.

Volume (A^3/atom): 30.44
E_form (eV per atom): -0.011
Polymorph energy (0 for the lowest one) (kJ per mole of atoms): 20.71
Space group: I4_1/amd, No. 141

```
BaFeAu2
1.0
-0.407 -2.480 -4.688
-2.637 -3.985 2.337
-8.968 0.818 -2.673
Au Fe Ba
4 2 2
Direct
0.875 0.625 0.750
0.375 0.625 0.250
0.375 0.625 0.750
0.375 0.125 0.250
0.250 0.750 0.500
0.500 0.500 0.000
0.000 0.000 0.000
0.750 0.250 0.500
```


[2]
A plane-wave DFT calculation with PBE-GGA was carried out for crystalline BaFe2Au at its relaxed geometry.

Volume (A^3/atom): 21.44
E_form (eV per atom): 0.512
Space group: Imm2, No. 44

```
BaFe2Au
1.0
-3.918 2.808 -3.285
-5.134 0.955 2.598
5.749 0.983 -0.076
Fe Au Ba
2 1 1
Direct
0.769 0.269 0.500
0.943 0.943 0.000
0.543 0.543 0.000
0.245 0.745 0.500
```


[3]
A plane-wave DFT calculation with PBE-GGA was carried out for crystalline BaFe2Au at its relaxed geometry.

Volume (A^3/atom): 21.94
E_form (eV per atom): 0.768
Space group: P4/mmm, No. 123

```
BaFe2Au
1.0
-4.136 -1.146 -0.373
1.193 -4.088 -0.650
-0.198 -0.798 4.655
Fe Ba Au
2 1 1
Direct
0.000 0.000 0.000
0.500 0.500 0.000
0.000 0.500 0.500
0.500 0.000 0.500
```


[4]
A plane-wave DFT calculation with PBE-GGA was carried out for crystalline BaFe2Au at its relaxed geometry.

Volume (A^3/atom): 23.81
E_form (eV per atom): 0.657
Space group: I4_1/amd, No. 141

```
BaFe2Au
1.0
-3.403 -2.468 -1.691
1.955 -3.773 1.572
-5.361 -2.196 7.923
Fe Ba Au
4 2 2
Direct
0.875 0.125 0.750
0.375 0.125 0.750
0.875 0.625 0.250
0.875 0.125 0.250
0.250 0.750 0.500
0.500 0.500 0.000
0.000 0.000 0.000
0.750 0.250 0.500
```


[5]
A plane-wave DFT calculation with PBE-GGA was carried out for crystalline BaFe4Au at its relaxed geometry.

Volume (A^3/atom): 17.13
E_form (eV per atom): 0.439
Space group: F-43m, No. 216

```
BaFe4Au
1.0
4.525 -1.299 -2.341
2.779 -4.108 1.747
0.304 -4.386 -2.884
Fe Ba Au
4 1 1
Direct
0.378 0.378 0.378
0.378 0.378 0.867
0.378 0.867 0.378
0.867 0.378 0.378
0.000 0.000 0.000
0.750 0.750 0.750
```


[6]
A plane-wave DFT calculation with PBE-GGA was carried out for crystalline BaFeAu2 at its relaxed geometry.

Volume (A^3/atom): 26.12
E_form (eV per atom): -0.173
Polymorph energy (0 for the lowest one) (kJ per mole of atoms): 5.02
Space group: R3m, No. 160

```
BaFeAu2
1.0
-1.367 1.588 4.061
-0.738 -2.898 3.456
4.810 0.115 4.147
Au Ba Fe
2 1 1
Direct
0.699 0.699 0.903
0.979 0.979 0.064
0.505 0.505 0.485
0.318 0.318 0.047
```


[7]
A plane-wave DFT calculation with PBE-GGA was carried out for crystalline BaFe2Au at its relaxed geometry.

Volume (A^3/atom): 21.99
E_form (eV per atom): 0.667
Space group: Immm, No. 71

```
BaFe2Au
1.0
5.979 0.024 0.017
2.712 5.328 -0.017
-3.603 -3.881 2.775
Fe Au Ba
2 1 1
Direct
0.534 0.534 0.000
0.966 0.966 0.000
0.750 0.250 0.500
0.250 0.750 0.500
```


[8]
A plane-wave DFT calculation with PBE-GGA was carried out for crystalline BaFe2Au at its relaxed geometry.

Volume (A^3/atom): 25.73
E_form (eV per atom): 0.436
Space group: P2/m, No. 10

```
BaFe2Au
1.0
-3.160 0.719 -3.393
-1.547 -3.619 0.674
-3.810 1.341 3.833
Ba Au Fe
1 1 2
Direct
0.500 0.750 0.750
0.500 0.250 0.250
0.000 0.452 0.369
0.000 0.048 0.131
```


[9]
A plane-wave DFT calculation with PBE-GGA was carried out for crystalline BaFe2Au at its relaxed geometry.

Volume (A^3/atom): 21.68
E_form (eV per atom): 0.752
Space group: Pmmm, No. 47

```
BaFe2Au
1.0
-2.730 0.710 1.986
2.520 -1.626 4.045
1.754 4.612 0.762
Fe Au Ba
2 1 1
Direct
0.000 0.000 0.000
0.500 0.500 0.000
0.500 0.000 0.500
0.000 0.500 0.500
```


[10]
A plane-wave DFT calculation with PBE-GGA was carried out for crystalline BaFeAu2 at its relaxed geometry.

Volume (A^3/atom): 25.94
E_form (eV per atom): -0.225
Polymorph energy (0 for the lowest one) (kJ per mole of atoms): 0.00
Space group: R-3m, No. 166

```
BaFeAu2
1.0
6.304 -0.036 -0.023
4.669 4.236 -0.023
4.669 1.787 3.841
Au Fe Ba
2 1 1
Direct
0.052 0.052 0.052
0.448 0.448 0.448
0.750 0.750 0.750
0.250 0.250 0.250
```


[11]
A plane-wave DFT calculation with PBE-GGA was carried out for crystalline BaFeAu2 at its relaxed geometry.

Volume (A^3/atom): 28.07
E_form (eV per atom): -0.079
Polymorph energy (0 for the lowest one) (kJ per mole of atoms): 14.13
Space group: Pmm2, No. 25

```
BaFeAu2
1.0
-3.170 0.660 3.492
-1.282 -4.371 -0.338
3.569 -1.319 3.489
Au Ba Fe
2 1 1
Direct
0.000 0.000 0.965
0.500 0.000 0.285
0.000 0.500 0.471
0.500 0.000 0.779
```


[12]
A plane-wave DFT calculation with PBE-GGA was carried out for crystalline BaFeAu2 at its relaxed geometry.

Volume (A^3/atom): 24.31
E_form (eV per atom): 0.209
Polymorph energy (0 for the lowest one) (kJ per mole of atoms): 41.91
Space group: P4/mmm, No. 123

```
BaFeAu2
1.0
-1.773 7.882 -0.706
-0.116 -3.604 -3.557
-3.572 0.946 -0.839
Au Fe Ba
2 1 1
Direct
0.500 0.000 0.500
0.000 0.000 0.000
0.500 0.500 0.000
0.000 0.500 0.500
```


Record order is preserved below.
E: -4.25; -5.02; -4.76; -4.87; -6.07; -4.41; -4.86; -5.10; -4.78; -4.46; -4.31; -4.03 eV per atom
Record order is preserved below.
Total magnetization: 5.82; 5.29; 5.42; 0.33; 10.74; 2.77; 5.63; 5.75; 5.65; 2.99; 2.83; 3.23 μB/cell